12
Lattice="-2.937 -2.438 -4.675 8.072 -3.081 -0.095 -4.465 -2.329 6.231" Properties=species:S:1:pos:R:3 comment="GGA-PBE Er4BiRh, optimized geometry" e_form_kj_per_mol_atoms=-57 e_tot_ev_per_cell=-66.1 mass_density_kg_m3=9847 crystal_system=monoclinic de_polymorph_mev_per_atom=36 dos_at_fermi_per_ev_atom=0.874 pbc="T T T"
Er -2.317 -2.743 5.016
Er 0.552 -5.667 0.364
Er 0.560 -4.689 3.860
Er 3.551 -5.342 2.274
Er -2.880 -2.506 -0.813
Er 0.110 -3.159 -2.399
Er 0.119 -2.181 1.097
Er 2.987 -5.105 -3.555
Bi 2.825 -3.428 -0.250
Bi -2.155 -4.420 1.711
Rh 2.874 -6.019 4.967
Rh -2.203 -1.830 -3.506